Below is an optimized crystal structure of NbSnSe2, with properties calculated at the GGA-PBE level.

Properties
The uncorrected formation energy is -40 meV per atom. Its total energy is -5.301 eV/atom. As for the total magnetization: 1.49 μB/f.u. The calculation puts the density of states at the Fermi level at 0.810 states/eV per atom.

abc: 7.224 7.224 7.224
angles: 124.76 124.76 81.93
Fractional positions:
Nb1 0.000 0.000 0.000
Nb2 0.750 0.250 0.500
Sn1 0.250 0.750 0.500
Sn2 0.500 0.500 0.000
Se1 0.071 0.625 0.946
Se2 0.375 0.321 0.446
Se3 0.679 0.125 0.054
Se4 0.875 0.929 0.554



Below is an optimized crystal structure of NbV2SnSe, with properties calculated at the GGA-PBE level.

Properties
The uncorrected formation energy is 463 meV per atom. Its total energy is -6.696 eV/atom. As for the total magnetization: 1.88 μB/f.u. The calculation puts the density of states at the Fermi level at 1.301 states/eV per atom.

abc: 4.526 4.526 4.805
angles: 90.00 90.00 90.00
Fractional positions:
Nb1 0.000 0.000 0.000
V1 0.000 0.500 0.500
V2 0.500 0.000 0.500
Sn1 0.500 0.500 0.000
Se1 0.000 0.000 0.500



Below is an optimized crystal structure of Sr2NbSe4, with properties calculated at the GGA-PBE level.

Properties
The uncorrected formation energy is -1324 meV per atom. Its total energy is -5.234 eV/atom. As for the total magnetization: 0.38 μB/f.u. The calculation puts the density of states at the Fermi level at 0.395 states/eV per atom.

abc: 8.661 8.661 8.661
angles: 146.25 146.25 48.47
Fractional positions:
Sr1 0.140 0.140 0.000
Sr2 0.860 0.860 0.000
Nb1 0.500 0.500 0.000
Se1 0.000 0.500 0.500
Se2 0.331 0.331 0.000
Se3 0.500 0.000 0.500
Se4 0.669 0.669 0.000